Entry 1:
Computed, not measured: crystalline YGaO3 at its relaxed geometry at the GGA-PBE level of DFT.

Output
SG   No. 15
Final energy   -37.901 eV/f.u.
Formation energy without anion corrections   -2.707 eV per atom
Total moment   0.000 μB/atom

Unit cell a=5.7100 b=7.0281 c=7.0281 alpha=86.35 beta=81.73 gamma=81.73
Element x y z (fractional)
Y1 0.2500 0.9018 0.0982
Y2 0.7500 0.0982 0.9018
Y3 0.2500 0.3043 0.6957
Y4 0.7500 0.6957 0.3043
Ga1 0.7122 0.6107 0.7953
Ga2 0.7878 0.2047 0.3893
Ga3 0.2878 0.3893 0.2047
Ga4 0.2122 0.7953 0.6107
O1 0.6370 0.7887 0.9884
O2 0.8630 0.0116 0.2113
O3 0.3630 0.2113 0.0116
O4 0.1370 0.9884 0.7887
O5 0.8815 0.3789 0.8582
O6 0.6185 0.1418 0.6211
O7 0.1185 0.6211 0.1418
O8 0.3815 0.8582 0.3789
O9 0.4194 0.5839 0.7057
O10 0.0806 0.2943 0.4161
O11 0.5806 0.4161 0.2943
O12 0.9194 0.7057 0.5839

Entry 2:
Computed, not measured: crystalline Y2Ga2O at its relaxed geometry at the GGA-PBE level of DFT.

Output
SG   No. 127
Final energy   -26.342 eV/f.u.
Formation energy without anion corrections   -0.480 eV per atom
Total moment   0.000 μB/atom
E above lowest polymorph   0.0000 eV/atom

Unit cell a=6.9250 b=6.9250 c=4.3600 alpha=90.00 beta=90.00 gamma=90.00
Element x y z (fractional)
Y1 0.1633 0.6633 0.5000
Y2 0.6633 0.8367 0.5000
Y3 0.8367 0.3367 0.5000
Y4 0.3367 0.1633 0.5000
O1 0.0000 0.0000 0.0000
O2 0.5000 0.5000 0.0000
Ga1 0.3573 0.8573 0.0000
Ga2 0.8573 0.6427 0.0000
Ga3 0.6427 0.1427 0.0000
Ga4 0.1427 0.3573 0.0000

Entry 3:
Computed, not measured: crystalline Y2GaO at its relaxed geometry at the GGA-PBE level of DFT.

Output
SG   No. 122
Final energy   -27.038 eV/f.u.
Formation energy without anion corrections   -1.531 eV per atom
Total moment   0.000 μB/atom
E above lowest polymorph   0.0000 eV/atom

Unit cell a=6.7652 b=6.7652 c=6.1579 alpha=56.68 beta=56.68 gamma=90.00
Element x y z (fractional)
Y1 0.5387 0.1250 0.2500
Y2 0.2113 0.6250 0.2500
Y3 0.3750 0.4613 0.7500
Y4 0.8750 0.7887 0.7500
O1 0.5000 0.5000 0.0000
O2 0.2500 0.7500 0.5000
Ga1 0.0000 0.0000 0.0000
Ga2 0.7500 0.2500 0.5000

Entry 4:
Computed, not measured: crystalline YGaO at its relaxed geometry at the GGA-PBE level of DFT.

Output
SG   No. 12
Final energy   -20.567 eV/f.u.
Formation energy without anion corrections   -2.039 eV per atom
Total moment   0.000 μB/atom

Unit cell a=3.8186 b=3.8186 c=9.5565 alpha=112.66 beta=112.66 gamma=61.35
Element x y z (fractional)
Ga1 0.7126 0.7126 0.5655
Ga2 0.2874 0.2874 0.4345
O1 0.6024 0.6024 0.8976
O2 0.3976 0.3976 0.1024
Y1 0.2237 0.2237 0.8323
Y2 0.7763 0.7763 0.1677

Entry 5:
Computed, not measured: crystalline Y2GaO at its relaxed geometry at the GGA-PBE level of DFT.

Output
SG   No. 38
Final energy   -26.921 eV/f.u.
Formation energy without anion corrections   -1.502 eV per atom
Total moment   0.000 μB/atom
E above lowest polymorph   0.0293 eV/atom

Unit cell a=3.2932 b=3.3941 c=7.4937 alpha=90.00 beta=102.69 gamma=90.00
Element x y z (fractional)
Y1 0.9309 0.5000 0.8618
Y2 0.2366 0.0000 0.4731
Ga1 0.5597 0.0000 0.1194
O1 0.7728 0.5000 0.5456

Entry 6:
Computed, not measured: crystalline YGaO3 at its relaxed geometry at the GGA-PBE level of DFT.

Output
SG   No. 14
Final energy   -37.488 eV/f.u.
Formation energy without anion corrections   -2.625 eV per atom
Total moment   0.000 μB/atom

Unit cell a=6.8129 b=5.3334 c=7.1400 alpha=90.00 beta=79.44 gamma=90.00
Element x y z (fractional)
Y1 0.8774 0.7545 0.1334
Y2 0.6226 0.2545 0.3666
Y3 0.1226 0.2455 0.8666
Y4 0.3774 0.7455 0.6334
Ga1 0.3466 0.8173 0.1201
Ga2 0.1534 0.3173 0.3799
Ga3 0.6534 0.1827 0.8799
Ga4 0.8466 0.6827 0.6201
O1 0.0889 0.5265 0.6395
O2 0.4111 0.0265 0.8605
O3 0.9111 0.4735 0.3605
O4 0.5889 0.9735 0.1395
O5 0.8775 0.9488 0.8122
O6 0.6225 0.4488 0.6878
O7 0.1225 0.0512 0.1878
O8 0.3775 0.5512 0.3122
O9 0.7058 0.8872 0.4733
O10 0.7942 0.3872 0.0267
O11 0.2942 0.1128 0.5267
O12 0.2058 0.6128 0.9733

- Among the records above, which one has the highest final energy?
  YGaO